Record 1
## HfBr3 (PBE)

Data for a relaxed HfBr3 crystal.

The structure belongs to space group Fm-3m (No. 225); the cell edges are 7.110, 7.110 and 7.110 Å and the angles 90.00°, 90.00° and 90.00°. The asymmetric unit holds Hf at (0.000, 0.000, 0.000), Br at (0.000, 0.000, 0.500) and Br at (0.250, 0.250, 0.250).

The magnetization comes out at 3.79 μB/cell. The volume is 22.47 A^3/atom. Its energy relative to the elements, uncorrected is -4.73 kcal/mol of atoms.

Record 2
## HfBr (PBE)

Data for a relaxed HfBr crystal.

The structure belongs to space group P4/m (No. 83); the cell edges are 12.006, 12.006 and 3.351 Å and the angles 90.00°, 90.00° and 90.00°. The asymmetric unit holds Hf at (0.084, 0.408, 0.000), Hf at (0.110, 0.651, 0.500), Br at (0.186, 0.193, 0.000) and Br at (0.260, 0.478, 0.500).

The magnetization comes out at 0.00 μB/cell. The volume is 30.19 A^3/atom. Its energy relative to the elements, uncorrected is -13.99 kcal/mol of atoms.

Record 3
## HfBr (PBE)

Data for a relaxed HfBr crystal.

The structure belongs to space group Pmn2_1 (No. 31); the cell edges are 8.089, 5.323 and 6.309 Å and the angles 90.00°, 90.00° and 90.00°. The asymmetric unit holds Hf at (0.000, 0.152, 0.000), Hf at (0.192, 0.601, 0.814), Br at (0.000, 0.594, 0.451) and Br at (0.219, 0.110, 0.658).

The magnetization comes out at 0.11 μB/cell. The volume is 22.64 A^3/atom. Its energy relative to the elements, uncorrected is -6.54 kcal/mol of atoms.

Record 4
## HfBr (PBE)

Data for a relaxed HfBr crystal.

The structure belongs to space group Fddd (No. 70, origin choice 2); the cell edges are 7.997, 9.521 and 10.551 Å and the angles 90.00°, 90.00° and 90.00°. The asymmetric unit holds Hf at (0.125, 0.125, 0.260) and Br at (0.073, 0.375, 0.875).

The magnetization comes out at 0.00 μB/cell. The volume is 25.11 A^3/atom. Its energy relative to the elements, uncorrected is -1.36 kcal/mol of atoms.

Record 5
## HfBr4 (PBE)

Data for a relaxed HfBr4 crystal.

The structure belongs to space group Pm-3m (No. 221); the cell edges are 5.250, 5.250 and 5.250 Å and the angles 90.00°, 90.00° and 90.00°. The asymmetric unit holds Hf at (0.000, 0.000, 0.000), Br at (0.000, 0.000, 0.500) and Br at (0.500, 0.500, 0.500).

The magnetization comes out at 0.27 μB/cell. The volume is 28.94 A^3/atom. Its energy relative to the elements, uncorrected is -17.53 kcal/mol of atoms.

Record 6
## HfBr4 (PBE)

Data for a relaxed HfBr4 crystal.

The structure belongs to space group Pa-3 (No. 205); the cell edges are 12.449, 12.449 and 12.449 Å and the angles 90.00°, 90.00° and 90.00°. The asymmetric unit holds Hf at (0.132, 0.132, 0.132), Br at (0.013, 0.246, 0.023) and Br at (0.246, 0.246, 0.246).

The magnetization comes out at 0.00 μB/cell. The volume is 48.23 A^3/atom. Its energy relative to the elements, uncorrected is -31.29 kcal/mol of atoms.

Record 7
## HfHgBr6 (PBE)

Data for a relaxed HfHgBr6 crystal.

The structure belongs to space group C2/m (No. 12); the cell edges are 7.363, 12.498 and 6.862 Å and the angles 90.00°, 95.51° and 90.00°. The asymmetric unit holds Hf at (0.000, 0.000, 0.000), Hg at (0.000, 0.000, 0.500), Br at (0.148, 0.149, 0.238) and Br at (0.208, 0.500, 0.197).

The magnetization comes out at 0.00 μB/cell. The volume is 39.29 A^3/atom. As for the energy above the most stable polymorph in this dataset: 0.0000 eV per atom. Its energy relative to the elements, uncorrected is -22.95 kcal/mol of atoms.

Record 8
## Hf3Hg2Br9 (PBE)

Data for a relaxed Hf3Hg2Br9 crystal.

The structure belongs to space group C2/m (No. 12); the cell edges are 13.676, 16.152 and 10.655 Å and the angles 90.00°, 112.89° and 90.00°. The asymmetric unit holds Hf at (0.108, 0.000, 0.348), Hf at (0.122, 0.113, 0.652), Hg at (0.034, 0.388, 0.853), Br at (0.000, 0.233, 0.500), Br at (0.014, 0.117, 0.812), Br at (0.215, 0.000, 0.200), Br at (0.239, 0.116, 0.502), Br at (0.243, 0.223, 0.801) and Br at (0.248, 0.500, 0.186).

The magnetization comes out at 8.08 μB/cell. The volume is 38.72 A^3/atom. Its energy relative to the elements, uncorrected is -23.04 kcal/mol of atoms.

Record 9
## HfHg2Br8 (PBE)

Data for a relaxed HfHg2Br8 crystal.

The structure belongs to space group C2/m (No. 12); the cell edges are 13.574, 9.786 and 6.662 Å and the angles 90.00°, 94.68° and 90.00°. The asymmetric unit holds Hf at (0.000, 0.000, 0.000), Hg at (0.216, 0.000, 0.722), Br at (0.076, 0.193, 0.777), Br at (0.105, 0.500, 0.313) and Br at (0.162, 0.000, 0.233).

The magnetization comes out at 0.00 μB/cell. The volume is 40.09 A^3/atom. As for the energy above the most stable polymorph in this dataset: 0.0056 eV per atom. Its energy relative to the elements, uncorrected is -18.91 kcal/mol of atoms.

Record 10
## HfHgBr4 (PBE)

Data for a relaxed HfHgBr4 crystal.

The structure belongs to space group P-1 (No. 2); the cell edges are 6.614, 8.616 and 9.392 Å and the angles 96.94°, 98.19° and 106.42°. The asymmetric unit holds Hf at (0.188, 0.397, 0.383), Hg at (0.309, 0.901, 0.099), Br at (0.070, 0.883, 0.673), Br at (0.085, 0.434, 0.664), Br at (0.287, 0.411, 0.139) and Br at (0.498, 0.705, 0.493).

The magnetization comes out at 0.00 μB/cell. The volume is 41.73 A^3/atom. Its energy relative to the elements, uncorrected is -26.34 kcal/mol of atoms.

Record 11
## Hf3HgBr (PBE)

Data for a relaxed Hf3HgBr crystal.

The structure belongs to space group Pm-3m (No. 221); the cell edges are 4.911, 4.911 and 4.911 Å and the angles 90.00°, 90.00° and 90.00°. The asymmetric unit holds Hf at (0.000, 0.000, 0.500), Hg at (0.500, 0.500, 0.500) and Br at (0.000, 0.000, 0.000).

The magnetization comes out at 0.00 μB/cell. The volume is 23.69 A^3/atom. As for the energy above the most stable polymorph in this dataset: 0.0000 eV per atom. Its energy relative to the elements, uncorrected is 15.60 kcal/mol of atoms.

Record 12
## HfHgBr6 (PBE)

Data for a relaxed HfHgBr6 crystal.

The structure belongs to space group P-1 (No. 2); the cell edges are 6.862, 6.877 and 7.351 Å and the angles 90.38°, 117.56° and 119.84°. The asymmetric unit holds Hf at (0.000, 0.000, 0.000), Hg at (0.000, 0.500, 0.500), Br at (0.159, 0.231, 0.762), Br at (0.166, 0.399, 0.240) and Br at (0.471, 0.073, 0.239).

The magnetization comes out at 0.00 μB/cell. The volume is 31.72 A^3/atom. As for the energy above the most stable polymorph in this dataset: 0.0356 eV per atom. Its energy relative to the elements, uncorrected is -22.13 kcal/mol of atoms.